--- one ---
An optimized crystal structure of LiCF2, computed with PBE-GGA.

Unit cell a=3.7804 b=3.7804 c=3.7804 alpha=60.00 beta=60.00 gamma=60.00
Last column: nearest neighbours and their distance in Å.
Atoms (fractional coordinates):
F 0.7500 0.7500 0.7500  4 Li 2.31, 4 C 2.31
C 0.5000 0.5000 0.5000  8 F 2.31
Li 0.0000 0.0000 0.0000  8 F 2.31
F 0.2500 0.2500 0.2500  4 Li 2.31, 4 C 2.31

Calculated values
SG	Fm-3m, No. 225

=====

--- two ---
An optimized crystal structure of LiCF2, computed with PBE-GGA.

Unit cell a=6.8178 b=6.8178 c=6.8178 alpha=23.62 beta=23.62 gamma=23.62
Last column: nearest neighbours and their distance in Å.
Atoms (fractional coordinates):
F 0.9153 0.9153 0.9153  1 Li 1.68
F 0.0847 0.0847 0.0847  1 Li 1.68
Li 0.0000 0.0000 0.0000  2 F 1.68
C 0.5000 0.5000 0.5000  6 F 2.29

Calculated values
SG	R-3m, No. 166

=====

Verdict on stability: one comes out on top.

=====

--- one ---
An optimized crystal structure of LiCF3, computed with PBE-GGA.

Unit cell a=3.7729 b=3.7729 c=3.7729 alpha=90.00 beta=90.00 gamma=90.00
Last column: nearest neighbours and their distance in Å.
Atoms (fractional coordinates):
F 0.5000 0.0000 0.0000  2 C 1.89
F 0.0000 0.5000 0.0000  2 C 1.89
Li 0.5000 0.5000 0.5000  12 F 2.67
C 0.0000 0.0000 0.0000  6 F 1.89
F 0.0000 0.0000 0.5000  2 C 1.89

Calculated values
SG	Pm-3m, No. 221

=====

--- two ---
An optimized crystal structure of LiCF3, computed with PBE-GGA.

Unit cell a=3.6201 b=3.6201 c=3.6201 alpha=90.00 beta=90.00 gamma=90.00
Last column: nearest neighbours and their distance in Å.
Atoms (fractional coordinates):
Li 0.0000 0.0000 0.0000  6 F 1.81
F 0.5000 0.0000 0.0000  2 Li 1.81
F 0.0000 0.5000 0.0000  2 Li 1.81
C 0.5000 0.5000 0.5000  12 F 2.56
F 0.0000 0.0000 0.5000  2 Li 1.81

Calculated values
SG	Pm-3m, No. 221

=====

Verdict on stability: one comes out on top.

=====

--- one ---
An optimized crystal structure of LiCN2F, computed with PBE-GGA.

Unit cell a=2.8988 b=2.8988 c=6.4418 alpha=90.00 beta=90.00 gamma=90.00
Last column: nearest neighbours and their distance in Å.
Atoms (fractional coordinates):
N 0.0000 0.5000 0.0000  2 C 1.45
C 0.0000 0.0000 0.0000  4 N 1.45
Li 0.5000 0.5000 0.5000  4 F 2.05
N 0.5000 0.0000 0.0000  2 C 1.45
F 0.0000 0.0000 0.5000  4 Li 2.05

Calculated values
SG	P4/mmm, No. 123

=====

--- two ---
An optimized crystal structure of LiCN2F, computed with PBE-GGA.

Unit cell a=4.1967 b=4.1967 c=3.3125 alpha=90.00 beta=90.00 gamma=90.00
Last column: nearest neighbours and their distance in Å.
Atoms (fractional coordinates):
N 0.0000 0.5000 0.0000  2 Li 2.10
Li 0.0000 0.0000 0.0000  2 F 1.66
C 0.5000 0.5000 0.5000  8 N 2.67, 4 F 2.97
F 0.0000 0.0000 0.5000  2 Li 1.66
N 0.5000 0.0000 0.0000  2 Li 2.10

Calculated values
SG	P4/mmm, No. 123

=====

Verdict on stability: one comes out on top.

=====

--- one ---
An optimized crystal structure of LiCOF2, computed with PBE-GGA.

Unit cell a=4.0810 b=4.0810 c=2.8400 alpha=90.00 beta=90.00 gamma=90.00
Last column: nearest neighbours and their distance in Å.
Atoms (fractional coordinates):
F 0.0000 0.5000 0.0000  2 C 2.04
C 0.0000 0.0000 0.0000  2 O 1.42
Li 0.5000 0.5000 0.5000  8 F 2.49
O 0.0000 0.0000 0.5000  2 C 1.42
F 0.5000 0.0000 0.0000  2 C 2.04

Calculated values
SG	P4/mmm, No. 123

=====

--- two ---
An optimized crystal structure of LiCOF2, computed with PBE-GGA.

Unit cell a=3.4878 b=3.4878 c=4.0383 alpha=90.00 beta=90.00 gamma=90.00
Last column: nearest neighbours and their distance in Å.
Atoms (fractional coordinates):
F 0.0000 0.5000 0.0000  2 Li 1.74
C 0.5000 0.5000 0.5000  4 O 2.47, 8 F 2.67
O 0.0000 0.0000 0.5000  2 Li 2.02
Li 0.0000 0.0000 0.0000  4 F 1.74
F 0.5000 0.0000 0.0000  2 Li 1.74

Calculated values
SG	P4/mmm, No. 123

=====

Verdict on stability: one comes out on top.

=====

--- one ---
An optimized crystal structure of LiTl6C2O6F2, computed with PBE-GGA.

Unit cell a=6.6037 b=7.5844 c=8.3860 alpha=118.74 beta=96.32 gamma=94.39
Last column: nearest neighbours and their distance in Å.
Atoms (fractional coordinates):
Tl 0.7039 0.8407 0.4076  3 O 2.68-2.86
Tl 0.1649 0.1778 0.5471  2 F 2.57-2.69, 2 O 2.72-2.85
Li 0.9946 0.0681 0.0347  3 O 1.86-1.96
O 0.8436 0.9559 0.7839  1 C 1.31
Tl 0.7621 0.5716 0.8549  2 F 2.58-2.59, 1 O 2.61
C 0.2562 0.8646 0.1486  3 O 1.30
O 0.2001 0.0402 0.1878  1 C 1.30
O 0.2700 0.7323 0.9799  1 C 1.30
Tl 0.6552 0.3043 0.3233  2 F 2.54-2.56
O 0.8938 0.2866 0.0010  1 C 1.32
O 0.2954 0.8191 0.2791  1 C 1.30
O 0.6901 0.1793 0.7246  1 C 1.30
F 0.9613 0.4855 0.5835  4 Tl 2.51-2.69
F 0.4533 0.4525 0.5912  4 Tl 2.56-2.58
Tl 0.3179 0.4299 0.0406  3 O 2.61-2.85
C 0.8072 0.1410 0.8353  3 O 1.30-1.32
Tl 0.2615 0.7590 0.6768  2 F 2.51-2.56, 1 O 2.64

Calculated values
SG	P1, No. 1

=====

--- two ---
An optimized crystal structure of LiTl6C2O6F2, computed with PBE-GGA.

Unit cell a=5.9010 b=7.4965 c=8.7277 alpha=69.38 beta=89.44 gamma=88.66
Last column: nearest neighbours and their distance in Å.
Atoms (fractional coordinates):
Tl 0.7704 0.2557 0.4717  1 F 2.62, 3 O 2.70-2.91
F 0.0466 0.4674 0.5647  1 Li 1.84
Tl 0.6447 0.3866 0.0301  1 F 2.51
C 0.8735 0.8563 0.7367  3 O 1.30-1.31
Tl 0.1650 0.5837 0.1322  3 O 2.65-2.77
O 0.8596 0.8771 0.5812  1 C 1.31
O 0.8339 0.0024 0.7815  1 C 1.30
O 0.1320 0.2947 0.0264  1 C 1.32
C 0.1478 0.1548 0.1689  3 O 1.30-1.32
Li 0.8417 0.5842 0.6620  2 F 1.84, 1 O 2.04
Tl 0.7214 0.9063 0.0869  2 O 2.59-2.70
F 0.5695 0.4677 0.7304  1 Li 1.84
Tl 0.2846 0.8084 0.4836  3 O 2.68-2.84, 1 F 2.81
O 0.9276 0.6889 0.8398  1 C 1.30
O 0.1365 0.9788 0.1762  1 C 1.30
Tl 0.2768 0.1997 0.7776  2 F 2.57-2.60, 1 O 2.64
O 0.1746 0.1958 0.3001  1 C 1.30

Calculated values
SG	P1, No. 1

=====

Verdict on stability: two comes out on top.

=====

--- one ---
An optimized crystal structure of MgCF2, computed with PBE-GGA.

Unit cell a=3.9359 b=3.9359 c=3.9359 alpha=60.00 beta=60.00 gamma=60.00
Last column: nearest neighbours and their distance in Å.
Atoms (fractional coordinates):
Mg 0.5000 0.5000 0.5000  8 F 2.41
F 0.2500 0.2500 0.2500  4 Mg 2.41, 4 C 2.41
C 0.0000 0.0000 0.0000  8 F 2.41
F 0.7500 0.7500 0.7500  4 Mg 2.41, 4 C 2.41

Calculated values
SG	Fm-3m, No. 225

=====

--- two ---
An optimized crystal structure of MgCF2, computed with PBE-GGA.

Unit cell a=5.9103 b=5.9103 c=6.0315 alpha=60.66 beta=60.66 gamma=90.00
Last column: nearest neighbours and their distance in Å.
Atoms (fractional coordinates):
Mg 0.0000 0.0000 0.0000  4 F 1.87
C 0.2500 0.7500 0.5000  4 F 3.16
Mg 0.7500 0.2500 0.5000  4 F 1.87
F 0.8750 0.0612 0.7500  2 Mg 1.87
C 0.5000 0.5000 0.0000  4 F 3.16
F 0.3750 0.1888 0.7500  2 Mg 1.87
F 0.8112 0.1250 0.2500  2 Mg 1.87
F 0.9388 0.6250 0.2500  2 Mg 1.87

Calculated values
SG	I-42d, No. 122

=====

Verdict on stability: two comes out on top.

=====

--- one ---
An optimized crystal structure of MgCNF2, computed with PBE-GGA.

Unit cell a=3.6810 b=3.6810 c=5.0002 alpha=90.00 beta=90.00 gamma=90.00
Last column: nearest neighbours and their distance in Å.
Atoms (fractional coordinates):
N 0.0000 0.0000 0.5000  2 Mg 2.50, 4 C 2.60
C 0.5000 0.5000 0.5000  4 N 2.60
Mg 0.0000 0.0000 0.0000  4 F 1.84
F 0.0000 0.5000 0.0000  2 Mg 1.84
F 0.5000 0.0000 0.0000  2 Mg 1.84

Calculated values
SG	P4/mmm, No. 123

=====

--- two ---
An optimized crystal structure of MgCNF2, computed with PBE-GGA.

Unit cell a=4.5199 b=4.5199 c=2.5149 alpha=90.00 beta=90.00 gamma=90.00
Last column: nearest neighbours and their distance in Å.
Atoms (fractional coordinates):
Mg 0.5000 0.5000 0.5000  2 Mg 2.51, 8 F 2.59
N 0.0000 0.0000 0.5000  2 C 1.26
F 0.5000 0.0000 0.0000  2 C 2.26, 2 F 2.51
C 0.0000 0.0000 0.0000  2 N 1.26
F 0.0000 0.5000 0.0000  2 C 2.26, 2 F 2.51

Calculated values
SG	P4/mmm, No. 123

=====

Verdict on stability: two comes out on top.